# 1
Computed, not measured: a geometry-optimized SnSbPb4 structure at the GGA-PBE level of DFT.

E_tot: -44.4 eV per cell
Raw formation energy: 0.128 eV/atom
Distance to the lowest polymorph of the same formula: 0.0704 eV/atom

Lattice parameters (Å, degrees): 6.4838 7.2310 10.0991 90.00 90.00 117.03
With the nearest neighbours (Å) after each atom.
Atoms (fractional coordinates):
1 Sn 0.9663 0.4873 0.7500  1 Sb 3.07, 7 Pb 3.25-3.31
2 Sn 0.0337 0.5127 0.2500  1 Sb 3.07, 7 Pb 3.25-3.31
3 Sb 0.7449 0.0114 0.7500  1 Sn 3.07, 5 Pb 3.10-3.38
4 Sb 0.2551 0.9886 0.2500  1 Sn 3.07, 5 Pb 3.10-3.38
5 Pb 0.4854 0.5235 0.7500  1 Sb 3.14, 2 Sn 3.25, 5 Pb 3.38-3.47
6 Pb 0.5146 0.4765 0.2500  1 Sb 3.14, 2 Sn 3.25, 5 Pb 3.38-3.47
7 Pb 0.2605 0.0001 0.7500  2 Sb 3.10-3.38, 1 Sn 3.31, 3 Pb 3.38-3.45
8 Pb 0.7395 0.9999 0.2500  2 Sb 3.10-3.38, 1 Sn 3.31, 3 Pb 3.38-3.45
9 Pb 0.8874 0.7309 0.0031  2 Sn 3.27-3.31, 2 Sb 3.37-3.63, 5 Pb 3.38-3.55
10 Pb 0.1126 0.2691 0.5031  2 Sn 3.27-3.31, 2 Sb 3.37-3.63, 5 Pb 3.38-3.55
11 Pb 0.8874 0.7309 0.4969  2 Sn 3.27-3.31, 2 Sb 3.37-3.63, 5 Pb 3.38-3.55
12 Pb 0.1126 0.2691 0.9969  2 Sn 3.27-3.31, 2 Sb 3.37-3.63, 5 Pb 3.38-3.55

=====

# 2
Computed, not measured: a geometry-optimized PrHo2Ga2Cu2 structure at the GGA-PBE level of DFT.

E_tot: -30.9 eV per cell
E_form: -385 meV/atom

Lattice parameters (Å, degrees): 4.4364 4.4364 9.4912 76.48 76.48 60.00
With the nearest neighbours (Å) after each atom.
Atoms (fractional coordinates):
1 Pr 0.0000 0.0000 0.0000  6 Cu 3.25, 6 Ga 3.29, 2 Ho 3.45
2 Ho 0.1259 0.1259 0.6223  3 Ga 2.91, 3 Cu 2.94
3 Ho 0.8741 0.8741 0.3777  3 Ga 2.91, 3 Cu 2.94
4 Ga 0.7421 0.7421 0.7736  3 Cu 2.56
5 Ga 0.2579 0.2579 0.2264  3 Cu 2.56
6 Cu 0.5935 0.5935 0.2196  3 Ga 2.56
7 Cu 0.4065 0.4065 0.7804  3 Ga 2.56

=====

# 3
Computed, not measured: a geometry-optimized YSc2Ag structure at the GGA-PBE level of DFT.

E_tot: -21.5 eV per cell
E_form: 110 meV/atom
Distance to the lowest polymorph of the same formula: 0.2253 eV/atom

Lattice parameters (Å, degrees): 5.1153 5.1153 5.1153 60.00 60.00 60.00
With the nearest neighbours (Å) after each atom.
Atoms (fractional coordinates):
1 Y 0.0000 0.0000 0.0000  8 Sc 3.13
2 Sc 0.2500 0.2500 0.2500  4 Ag 3.13, 4 Y 3.13
3 Sc 0.7500 0.7500 0.7500  4 Y 3.13, 4 Ag 3.13
4 Ag 0.5000 0.5000 0.5000  8 Sc 3.13

=====

# 4
Computed, not measured: a geometry-optimized Tc4HgRu structure at the GGA-PBE level of DFT.

E_tot: -47.8 eV per cell
E_form: 534 meV/atom

Lattice parameters (Å, degrees): 5.1405 5.1405 5.1405 60.00 60.00 60.00
With the nearest neighbours (Å) after each atom.
Atoms (fractional coordinates):
1 Tc 0.8741 0.3753 0.3753  6 Tc 2.56-2.58
2 Tc 0.3753 0.3753 0.8741  6 Tc 2.56-2.58
3 Tc 0.3753 0.8741 0.3753  6 Tc 2.56-2.58
4 Tc 0.3753 0.3753 0.3753  6 Tc 2.56-2.58
5 Hg 0.7500 0.7500 0.7500  12 Tc 3.01, 4 Ru 3.15
6 Ru 0.0000 0.0000 0.0000  12 Tc 3.01, 4 Hg 3.15

=====

# 5
Computed, not measured: a geometry-optimized ZrSbTeN2 structure at the GGA-PBE level of DFT.

E_tot: -30.1 eV per cell
Raw formation energy: 0.466 eV/atom
Distance to the lowest polymorph of the same formula: 0.0000 eV/atom

Lattice parameters (Å, degrees): 4.2772 4.2772 5.9225 90.00 90.00 90.00
With the nearest neighbours (Å) after each atom.
Atoms (fractional coordinates):
1 Sb 0.5000 0.5000 0.5000  4 Te 3.02
2 Te 0.0000 0.0000 0.5000  2 Zr 2.96, 4 Sb 3.02
3 Zr 0.0000 0.0000 0.0000  4 N 2.14
4 N 0.0000 0.5000 0.0000  2 Zr 2.14
5 N 0.5000 0.0000 0.0000  2 Zr 2.14

=====

# 6
Computed, not measured: a geometry-optimized ZrAl3Ni3 structure at the GGA-PBE level of DFT.

E_tot: -81.4 eV per cell
E_form: -512 meV/atom
Distance to the lowest polymorph of the same formula: 0.0151 eV/atom

Lattice parameters (Å, degrees): 4.0478 6.3116 7.9185 90.00 90.00 90.00
With the nearest neighbours (Å) after each atom.
Atoms (fractional coordinates):
1 Ni 0.2500 0.5250 0.9158  4 Al 2.39-2.50, 2 Ni 2.44
2 Ni 0.2500 0.9750 0.9158  4 Al 2.39-2.50, 2 Ni 2.44
3 Ni 0.7500 0.0250 0.0842  4 Al 2.39-2.50, 2 Ni 2.44
4 Ni 0.7500 0.4750 0.0842  4 Al 2.39-2.50, 2 Ni 2.44
5 Ni 0.2500 0.2500 0.4323  7 Al 2.34-2.44
6 Ni 0.7500 0.7500 0.5677  7 Al 2.34-2.44
7 Al 0.2500 0.5414 0.6140  4 Ni 2.34-2.44
8 Al 0.2500 0.9586 0.6140  4 Ni 2.34-2.44
9 Al 0.7500 0.0414 0.3860  4 Ni 2.34-2.44
10 Al 0.7500 0.4586 0.3860  4 Ni 2.34-2.44
11 Al 0.2500 0.2500 0.1303  7 Ni 2.39-2.50
12 Al 0.7500 0.7500 0.8697  7 Ni 2.39-2.50
13 Zr 0.2500 0.7500 0.2251  6 Ni 2.83-2.89, 4 Al 3.02
14 Zr 0.7500 0.2500 0.7749  6 Ni 2.83-2.89, 4 Al 3.02

=====

| no. | N(E_F) (states/eV/cell) |
| --- | --- |
| 1 | 6.99 |
| 2 | 4.99 |
| 3 | 6.43 |
| 4 | 4.89 |
| 5 | 4.58 |
| 6 | 8.22 |